1.
DFT (GGA-PBE) results for an optimized crystal structure of HoMn6Fe3.

Cell: 4.754 4.834 6.620 Å, 87.38 72.49 63.43°
Fractional coordinates of all 10 atoms:
Ho1 0.000 0.000 0.000
Mn1 0.110 0.454 0.731
Mn2 0.338 0.796 0.533
Mn3 0.464 0.235 0.396
Mn4 0.612 0.476 0.770
Mn5 0.633 0.975 0.735
Mn6 0.933 0.228 0.421
Fe1 0.290 0.351 0.077
Fe2 0.590 0.687 0.146
Fe3 0.948 0.710 0.384

Calculated values
Formation enthalpy at 0 K, eV per atom: 0.14
Spin magnetization, μB/cell: 6.42



2.
DFT (GGA-PBE) results for an optimized crystal structure of AlFeTeI2.

Cell: 5.602 5.602 5.693 Å, 90.00 90.00 90.00°
Fractional coordinates of all 5 atoms:
Al1 0.000 0.000 0.000
Fe1 0.500 0.500 0.500
Te1 0.000 0.000 0.500
I1 0.000 0.500 0.000
I2 0.500 0.000 0.000

Calculated values
Spin magnetization, μB/cell: 4.03
Excess energy over the best structure of this formula in the dataset, meV per atom: 215
Formation energy without anion corrections, eV/atom: 0.632



3.
DFT (GGA-PBE) results for an optimized crystal structure of In12Ge5Au3.

Cell: 14.062 14.062 14.062 Å, 109.47 109.47 109.47°
Fractional coordinates of all 80 atoms:
In1 0.057 0.230 0.127
In2 0.057 0.327 0.930
In3 0.070 0.627 0.397
In4 0.070 0.943 0.673
In5 0.103 0.730 0.673
In6 0.103 0.873 0.430
In7 0.127 0.057 0.230
In8 0.127 0.570 0.897
In9 0.173 0.230 0.603
In10 0.173 0.443 0.570
In11 0.230 0.127 0.057
In12 0.230 0.603 0.173
In13 0.270 0.327 0.897
In14 0.270 0.443 0.373
In15 0.327 0.897 0.270
In16 0.327 0.930 0.057
In17 0.373 0.270 0.443
In18 0.373 0.603 0.930
In19 0.397 0.070 0.627
In20 0.397 0.827 0.770
In21 0.430 0.103 0.873
In22 0.430 0.827 0.557
In23 0.443 0.373 0.270
In24 0.443 0.570 0.173
In25 0.557 0.430 0.827
In26 0.557 0.627 0.730
In27 0.570 0.173 0.443
In28 0.570 0.897 0.127
In29 0.603 0.173 0.230
In30 0.603 0.930 0.373
In31 0.627 0.397 0.070
In32 0.627 0.730 0.557
In33 0.673 0.070 0.943
In34 0.673 0.103 0.730
In35 0.730 0.557 0.627
In36 0.730 0.673 0.103
In37 0.770 0.397 0.827
In38 0.770 0.873 0.943
In39 0.827 0.557 0.430
In40 0.827 0.770 0.397
In41 0.873 0.430 0.103
In42 0.873 0.943 0.770
In43 0.897 0.127 0.570
In44 0.897 0.270 0.327
In45 0.930 0.057 0.327
In46 0.930 0.373 0.603
In47 0.943 0.673 0.070
In48 0.943 0.770 0.873
Ge1 0.000 0.000 0.000
Ge2 0.000 0.000 0.500
Ge3 0.000 0.500 0.000
Ge4 0.000 0.500 0.500
Ge5 0.125 0.750 0.875
Ge6 0.125 0.875 0.250
Ge7 0.250 0.125 0.875
Ge8 0.250 0.625 0.375
Ge9 0.375 0.250 0.625
Ge10 0.375 0.625 0.750
Ge11 0.500 0.000 0.000
Ge12 0.500 0.000 0.500
Ge13 0.500 0.500 0.000
Ge14 0.500 0.500 0.500
Ge15 0.625 0.375 0.250
Ge16 0.625 0.750 0.375
Ge17 0.750 0.375 0.625
Ge18 0.750 0.875 0.125
Ge19 0.875 0.125 0.750
Ge20 0.875 0.250 0.125
Au1 0.125 0.250 0.375
Au2 0.125 0.375 0.750
Au3 0.250 0.375 0.125
Au4 0.250 0.875 0.625
Au5 0.375 0.125 0.250
Au6 0.375 0.750 0.125
Au7 0.625 0.250 0.875
Au8 0.625 0.875 0.750
Au9 0.750 0.125 0.375
Au10 0.750 0.625 0.875
Au11 0.875 0.625 0.250
Au12 0.875 0.750 0.625

Calculated values
Formation enthalpy at 0 K, eV per atom: 0.03
Spin magnetization, μB/cell: 0.00